First-principles (meta-GGA SCAN) data for a crystal of MgH2W2 relaxed with PBEsol, as listed in the Alexandria database.

The structure in POSCAR format:
```
MgH2W2
1.0
3.408 0.000 0.000
0.000 3.408 0.000
-1.704 -1.704 4.658
H Mg W
2 1 2
direct
0.250 0.750 0.500 H
0.750 0.250 0.500 H
0.000 0.000 0.000 Mg
0.332 0.332 0.663 W
0.668 0.668 0.337 W
```

---

First-principles (meta-GGA SCAN) data for a crystal of YMg3H relaxed with PBEsol, as listed in the Alexandria database.

The structure in POSCAR format:
```
YMg3H
1.0
4.631 0.000 0.000
0.000 4.631 0.000
0.000 0.000 4.631
Y H Mg
1 1 3
direct
0.500 0.500 0.500 Y
0.000 0.000 0.000 H
0.000 0.500 0.000 Mg
0.000 0.000 0.500 Mg
0.500 0.000 0.000 Mg
```

---

First-principles (meta-GGA SCAN) data for a crystal of Y2MgH2 relaxed with PBEsol, as listed in the Alexandria database.

The structure in POSCAR format:
```
Y2MgH2
1.0
3.796 0.000 0.000
0.000 3.796 0.000
-1.898 -1.898 6.068
Y H Mg
2 2 1
direct
0.344 0.344 0.688 Y
0.656 0.656 0.312 Y
0.250 0.750 0.500 H
0.750 0.250 0.500 H
0.000 0.000 0.000 Mg
```

---

First-principles (meta-GGA SCAN) data for a crystal of Mg3ZrH relaxed with PBEsol, as listed in the Alexandria database.

The structure in POSCAR format:
```
Mg3ZrH
1.0
-1.103 2.951 3.140
-2.211 -3.169 2.202
3.698 -1.015 2.253
H Mg Zr
1 3 1
direct
0.000 0.000 0.000 H
0.000 0.500 0.000 Mg
0.000 0.000 0.500 Mg
0.500 0.000 0.000 Mg
0.500 0.500 0.500 Zr
```

---

First-principles (meta-GGA SCAN) data for a crystal of MnH2N relaxed with PBEsol, as listed in the Alexandria database.

The structure in POSCAR format:
```
MnH2N
1.0
2.674 0.000 0.000
0.000 2.674 0.000
-1.337 -1.337 7.159
H Mn N
4 2 2
direct
0.625 0.875 0.750 H
0.125 0.875 0.750 H
0.125 0.875 0.250 H
0.125 0.375 0.250 H
0.000 0.000 0.000 Mn
0.250 0.750 0.500 Mn
0.500 0.500 0.000 N
0.750 0.250 0.500 N
```

---

First-principles (meta-GGA SCAN) data for a crystal of MnP4H16N2O16 relaxed with PBEsol, as listed in the Alexandria database.

The structure in POSCAR format:
```
MnP4H16N2O16
1.0
7.066 -0.119 0.001
0.098 7.385 0.073
2.450 1.242 7.232
Mn P H N O
1 4 16 2 16
direct
0.000 0.500 0.000 Mn
0.245 0.218 0.736 P
0.755 0.782 0.264 P
0.829 0.247 0.745 P
0.171 0.753 0.255 P
0.570 0.272 0.573 H
0.430 0.728 0.427 H
0.761 0.015 0.993 H
0.239 0.985 0.007 H
0.449 0.683 0.907 H
0.551 0.317 0.093 H
0.577 0.720 0.674 H
0.423 0.280 0.326 H
0.677 0.597 0.829 H
0.323 0.403 0.171 H
0.659 0.829 0.817 H
0.341 0.171 0.183 H
0.119 0.842 0.788 H
0.881 0.158 0.212 H
0.122 0.711 0.641 H
0.878 0.289 0.359 H
0.590 0.707 0.807 N
0.410 0.293 0.193 N
0.243 0.360 0.854 O
0.757 0.640 0.146 O
0.427 0.248 0.554 O
0.573 0.752 0.446 O
0.225 0.019 0.840 O
0.775 0.981 0.160 O
0.067 0.241 0.648 O
0.933 0.759 0.352 O
0.793 0.380 0.881 O
0.207 0.620 0.119 O
0.755 0.302 0.581 O
0.245 0.698 0.419 O
0.747 0.050 0.851 O
0.253 0.950 0.149 O
0.058 0.726 0.772 O
0.942 0.274 0.228 O
```

---

First-principles (meta-GGA SCAN) data for a crystal of MnPH6NO5 relaxed with PBEsol, as listed in the Alexandria database.

The structure in POSCAR format:
```
MnPH6NO5
1.0
-3.979 -2.039 1.739
3.175 -3.468 3.198
-0.161 5.972 6.635
Mn P H N O
2 2 12 2 10
direct
0.531 0.000 0.527 Mn
0.031 0.500 0.473 Mn
0.097 0.000 0.301 P
0.597 0.500 0.699 P
0.824 0.000 0.043 H
0.324 0.500 0.957 H
0.458 0.000 0.047 H
0.958 0.500 0.953 H
0.636 0.151 0.912 H
0.636 0.849 0.912 H
0.136 0.349 0.088 H
0.136 0.651 0.088 H
0.076 0.138 0.688 H
0.076 0.862 0.688 H
0.576 0.362 0.312 H
0.576 0.638 0.312 H
0.639 0.000 0.978 N
0.139 0.500 0.022 N
0.786 0.000 0.338 O
0.286 0.500 0.662 O
0.140 0.000 0.129 O
0.640 0.500 0.871 O
0.201 0.000 0.700 O
0.701 0.500 0.300 O
0.247 0.218 0.373 O
0.247 0.782 0.373 O
0.747 0.282 0.627 O
0.747 0.718 0.627 O
```

---

First-principles (meta-GGA SCAN) data for a crystal of MnH10S2N4O8 relaxed with PBEsol, as listed in the Alexandria database.

The structure in POSCAR format:
```
MnH10S2N4O8
1.0
-2.082 2.682 -4.243
-4.602 -3.183 1.371
-1.089 4.438 5.765
Mn H S N O
1 10 2 4 8
direct
0.000 0.000 0.000 Mn
0.762 0.450 0.820 H
0.238 0.550 0.180 H
0.557 0.205 0.703 H
0.443 0.795 0.297 H
0.903 0.697 0.273 H
0.097 0.303 0.727 H
0.885 0.074 0.617 H
0.115 0.926 0.383 H
0.707 0.404 0.579 H
0.293 0.596 0.421 H
0.362 0.752 0.777 S
0.638 0.248 0.223 S
0.066 0.812 0.263 N
0.934 0.188 0.737 N
0.272 0.676 0.291 N
0.728 0.324 0.709 N
0.825 0.270 0.105 O
0.175 0.730 0.895 O
0.370 0.231 0.101 O
0.630 0.769 0.899 O
0.665 0.039 0.335 O
0.335 0.961 0.665 O
0.699 0.464 0.353 O
0.301 0.536 0.647 O
```

---

| no. | uncorrected energy (Ry/atom) |
| --- | --- |
| 1 | -2.1956 |
| 2 | -0.6755 |
| 3 | -1.0332 |
| 4 | -0.7114 |
| 5 | -0.6134 |
| 6 | -0.5518 |
| 7 | -0.5776 |
| 8 | -0.5384 |